5
Lattice="-2.0678 -2.4582 3.5523 -2.9906 -2.0274 -3.1439 3.1174 -3.5755 -0.6596" Properties=species:S:1:pos:R:3 comment="ZrNbPd3 PBE-GGA relaxed" formation_enthalpy_0k_ev_per_fu=3.3 magnetic_moment_mub_per_cell=0.00 volume_a3_per_cell=109.9 space_group="No. 221" total_energy_ev_per_atom=-6.187 polymorph_energy_mev_per_atom=0.0 pbc="T T T"
Pd 1.5587 -1.7878 -0.3298
Pd -1.0339 -1.2291 1.7762
Pd -1.4953 -1.0137 -1.5719
Zr -0.9705 -4.0306 -0.1256
Nb 0.0000 0.0000 0.0000